1.
Computed, not measured: TlRe2IN after structural relaxation at the PBE-GGA level of DFT.

```
data_TlRe2IN
_space_group_name_H-M_alt 'P 4/m m m'
_space_group_IT_number 123
_space_group_name_Hall '-P 4 2'
_cell_length_a 5.025
_cell_length_b 5.025
_cell_length_c 3.971
_cell_angle_alpha 90.00
_cell_angle_beta 90.00
_cell_angle_gamma 90.00
loop_
_atom_site_label
_atom_site_fract_x
_atom_site_fract_y
_atom_site_fract_z
Tl1 0.000 0.000 0.000
Re1 0.000 0.500 0.500
I1 0.500 0.500 0.500
N1 0.500 0.500 0.000
```

Total magnetic moment in μB/atom: 0.390
Formation energy (no corrections) in eV/f.u.: 13.18
D(E_F) in states/eV per atom: 1.06

***

2.
Computed, not measured: TlReIN2 after structural relaxation at the PBE-GGA level of DFT.

```
data_TlReIN2
_space_group_name_H-M_alt 'P 4/m m m'
_space_group_IT_number 123
_space_group_name_Hall '-P 4 2'
_cell_length_a 4.006
_cell_length_b 4.006
_cell_length_c 6.033
_cell_angle_alpha 90.00
_cell_angle_beta 90.00
_cell_angle_gamma 90.00
loop_
_atom_site_label
_atom_site_fract_x
_atom_site_fract_y
_atom_site_fract_z
Tl1 0.000 0.000 0.000
Re1 0.000 0.000 0.500
I1 0.500 0.500 0.000
N1 0.000 0.500 0.500
```

Total magnetic moment in μB/atom: 0.000
Formation energy (no corrections) in eV/f.u.: 3.63
Energy above the most stable polymorph in this dataset in eV/atom: 0.000
D(E_F) in states/eV per atom: 0.48

***

3.
Computed, not measured: TlReIN2 after structural relaxation at the PBE-GGA level of DFT.

```
data_TlReIN2
_space_group_name_H-M_alt 'P 4/m m m'
_space_group_IT_number 123
_space_group_name_Hall '-P 4 2'
_cell_length_a 4.084
_cell_length_b 4.084
_cell_length_c 5.738
_cell_angle_alpha 90.00
_cell_angle_beta 90.00
_cell_angle_gamma 90.00
loop_
_atom_site_label
_atom_site_fract_x
_atom_site_fract_y
_atom_site_fract_z
Tl1 0.000 0.000 0.000
Re1 0.500 0.500 0.500
I1 0.500 0.500 0.000
N1 0.000 0.500 0.500
```

Total magnetic moment in μB/atom: 0.000
Formation energy (no corrections) in eV/f.u.: 3.86
Energy above the most stable polymorph in this dataset in eV/atom: 0.046
D(E_F) in states/eV per atom: 0.62

***

4.
Computed, not measured: TlReI2N after structural relaxation at the PBE-GGA level of DFT.

```
data_TlReI2N
_space_group_name_H-M_alt 'P 4/m m m'
_space_group_IT_number 123
_space_group_name_Hall '-P 4 2'
_cell_length_a 6.273
_cell_length_b 6.273
_cell_length_c 4.282
_cell_angle_alpha 90.00
_cell_angle_beta 90.00
_cell_angle_gamma 90.00
loop_
_atom_site_label
_atom_site_fract_x
_atom_site_fract_y
_atom_site_fract_z
Tl1 0.000 0.000 0.000
Re1 0.500 0.500 0.500
I1 0.000 0.500 0.000
N1 0.000 0.000 0.500
```

Total magnetic moment in μB/atom: 1.445
Formation energy (no corrections) in eV/f.u.: 9.63
Energy above the most stable polymorph in this dataset in eV/atom: 1.709
D(E_F) in states/eV per atom: 0.60

***

5.
Computed, not measured: TlReI2N after structural relaxation at the PBE-GGA level of DFT.

```
data_TlReI2N
_space_group_name_H-M_alt 'P 4/m m m'
_space_group_IT_number 123
_space_group_name_Hall '-P 4 2'
_cell_length_a 5.799
_cell_length_b 5.799
_cell_length_c 3.829
_cell_angle_alpha 90.00
_cell_angle_beta 90.00
_cell_angle_gamma 90.00
loop_
_atom_site_label
_atom_site_fract_x
_atom_site_fract_y
_atom_site_fract_z
Tl1 0.000 0.000 0.000
Re1 0.500 0.500 0.500
I1 0.000 0.500 0.500
N1 0.500 0.500 0.000
```

Total magnetic moment in μB/atom: 0.000
Formation energy (no corrections) in eV/f.u.: 1.08
Energy above the most stable polymorph in this dataset in eV/atom: 0.000
D(E_F) in states/eV per atom: 0.63

***

6.
Computed, not measured: TlReIN2 after structural relaxation at the PBE-GGA level of DFT.

```
data_TlReIN2
_space_group_name_H-M_alt 'P 4/m m m'
_space_group_IT_number 123
_space_group_name_Hall '-P 4 2'
_cell_length_a 4.204
_cell_length_b 4.204
_cell_length_c 6.956
_cell_angle_alpha 90.00
_cell_angle_beta 90.00
_cell_angle_gamma 90.00
loop_
_atom_site_label
_atom_site_fract_x
_atom_site_fract_y
_atom_site_fract_z
Tl1 0.000 0.000 0.000
Re1 0.500 0.500 0.500
I1 0.000 0.000 0.500
N1 0.000 0.500 0.000
```

Total magnetic moment in μB/atom: 1.232
Formation energy (no corrections) in eV/f.u.: 13.35
Energy above the most stable polymorph in this dataset in eV/atom: 1.944
D(E_F) in states/eV per atom: 0.97

***

7.
Computed, not measured: VReIN2 after structural relaxation at the PBE-GGA level of DFT.

```
data_VReIN2
_space_group_name_H-M_alt 'P 4/m m m'
_space_group_IT_number 123
_space_group_name_Hall '-P 4 2'
_cell_length_a 3.906
_cell_length_b 3.906
_cell_length_c 5.737
_cell_angle_alpha 90.00
_cell_angle_beta 90.00
_cell_angle_gamma 90.00
loop_
_atom_site_label
_atom_site_fract_x
_atom_site_fract_y
_atom_site_fract_z
V1 0.000 0.000 0.000
Re1 0.500 0.500 0.500
I1 0.500 0.500 0.000
N1 0.000 0.500 0.500
```

Total magnetic moment in μB/atom: 0.639
Formation energy (no corrections) in eV/f.u.: 4.23
Energy above the most stable polymorph in this dataset in eV/atom: 0.000
D(E_F) in states/eV per atom: 0.51

***

8.
Computed, not measured: VReIN2 after structural relaxation at the PBE-GGA level of DFT.

```
data_VReIN2
_space_group_name_H-M_alt 'P 4/m m m'
_space_group_IT_number 123
_space_group_name_Hall '-P 4 2'
_cell_length_a 3.873
_cell_length_b 3.873
_cell_length_c 5.591
_cell_angle_alpha 90.00
_cell_angle_beta 90.00
_cell_angle_gamma 90.00
loop_
_atom_site_label
_atom_site_fract_x
_atom_site_fract_y
_atom_site_fract_z
V1 0.000 0.000 0.000
Re1 0.500 0.500 0.500
I1 0.000 0.000 0.500
N1 0.000 0.500 0.000
```

Total magnetic moment in μB/atom: 0.659
Formation energy (no corrections) in eV/f.u.: 7.13
Energy above the most stable polymorph in this dataset in eV/atom: 0.580
D(E_F) in states/eV per atom: 0.51

***

9.
Computed, not measured: ReWI2N after structural relaxation at the PBE-GGA level of DFT.

```
data_ReWI2N
_space_group_name_H-M_alt 'P 4/m m m'
_space_group_IT_number 123
_space_group_name_Hall '-P 4 2'
_cell_length_a 5.637
_cell_length_b 5.637
_cell_length_c 3.825
_cell_angle_alpha 90.00
_cell_angle_beta 90.00
_cell_angle_gamma 90.00
loop_
_atom_site_label
_atom_site_fract_x
_atom_site_fract_y
_atom_site_fract_z
Re1 0.000 0.000 0.000
W1 0.500 0.500 0.500
I1 0.000 0.500 0.500
N1 0.500 0.500 0.000
```

Total magnetic moment in μB/atom: 1.064
Formation energy (no corrections) in eV/f.u.: 7.42
Energy above the most stable polymorph in this dataset in eV/atom: 0.035
D(E_F) in states/eV per atom: 0.76

***

10.
Computed, not measured: ReWI2N after structural relaxation at the PBE-GGA level of DFT.

```
data_ReWI2N
_space_group_name_H-M_alt 'P 4/m m m'
_space_group_IT_number 123
_space_group_name_Hall '-P 4 2'
_cell_length_a 5.538
_cell_length_b 5.538
_cell_length_c 3.735
_cell_angle_alpha 90.00
_cell_angle_beta 90.00
_cell_angle_gamma 90.00
loop_
_atom_site_label
_atom_site_fract_x
_atom_site_fract_y
_atom_site_fract_z
Re1 0.000 0.000 0.000
W1 0.500 0.500 0.500
I1 0.000 0.500 0.000
N1 0.000 0.000 0.500
```

Total magnetic moment in μB/atom: 0.715
Formation energy (no corrections) in eV/f.u.: 7.24
Energy above the most stable polymorph in this dataset in eV/atom: 0.000
D(E_F) in states/eV per atom: 0.87

***

11.
Computed, not measured: YReIN2 after structural relaxation at the PBE-GGA level of DFT.

```
data_YReIN2
_space_group_name_H-M_alt 'P 4/m m m'
_space_group_IT_number 123
_space_group_name_Hall '-P 4 2'
_cell_length_a 4.335
_cell_length_b 4.335
_cell_length_c 6.237
_cell_angle_alpha 90.00
_cell_angle_beta 90.00
_cell_angle_gamma 90.00
loop_
_atom_site_label
_atom_site_fract_x
_atom_site_fract_y
_atom_site_fract_z
Y1 0.000 0.000 0.000
Re1 0.500 0.500 0.500
I1 0.000 0.000 0.500
N1 0.000 0.500 0.000
```

Total magnetic moment in μB/atom: 1.012
Formation energy (no corrections) in eV/f.u.: 8.55
Energy above the most stable polymorph in this dataset in eV/atom: 1.331
D(E_F) in states/eV per atom: 0.74

***

12.
Computed, not measured: YReIN2 after structural relaxation at the PBE-GGA level of DFT.

```
data_YReIN2
_space_group_name_H-M_alt 'P 4/m m m'
_space_group_IT_number 123
_space_group_name_Hall '-P 4 2'
_cell_length_a 4.048
_cell_length_b 4.048
_cell_length_c 5.453
_cell_angle_alpha 90.00
_cell_angle_beta 90.00
_cell_angle_gamma 90.00
loop_
_atom_site_label
_atom_site_fract_x
_atom_site_fract_y
_atom_site_fract_z
Y1 0.000 0.000 0.000
Re1 0.500 0.500 0.500
I1 0.500 0.500 0.000
N1 0.000 0.500 0.500
```

Total magnetic moment in μB/atom: 0.000
Formation energy (no corrections) in eV/f.u.: 1.90
Energy above the most stable polymorph in this dataset in eV/atom: 0.000
D(E_F) in states/eV per atom: 0.67

***

Question: Which of these has the lowest D(E_F)?
Answer: number 2